Record 1
Compound: Ti12Ge2Sb5
Source: Alexandria via LeMat-Bulk
Functional: GGA-PBE
Structure: relaxed

## Properties
Fermi-level density of states (states/eV per atom): 1.20
Calculated volume (Å³ per cell): 399
Final energy (eV per atom): -6.683
Formation energy without anion corrections (eV per atom): -0.13
Magnetic moment (μB per atom): 0.001
Theoretical density (g cm⁻³): 5.53

Cell lengths 8.330, 8.330, 8.129 Å; angles 102.09, 102.09, 46.61 degrees
Fractional positions:
Ti 0.009 0.009 0.175
Ti 0.052 0.624 0.893
Ti 0.141 0.588 0.440
Ti 0.376 0.948 0.107
Ti 0.412 0.859 0.560
Ti 0.481 0.481 0.696
Ti 0.519 0.519 0.304
Ti 0.588 0.141 0.440
Ti 0.624 0.052 0.893
Ti 0.859 0.412 0.560
Ti 0.948 0.376 0.107
Ti 0.991 0.991 0.825
Ge 0.316 0.684 0.000
Ge 0.684 0.316 0.000
Sb 0.000 0.000 0.500
Sb 0.280 0.280 0.645
Sb 0.320 0.320 0.143
Sb 0.680 0.680 0.857
Sb 0.720 0.720 0.355



Record 2
Compound: YSc2Mn
Source: Alexandria via LeMat-Bulk
Functional: GGA-PBE
Structure: relaxed

## Properties
Fermi-level density of states (states/eV per atom): 1.94
Energy above the lowest structure with this stoichiometry (eV per atom): 0.810
Calculated volume (Å³ per cell): 469
Final energy (eV per atom): -6.178
Formation energy (kJ per mole of atoms): 86
Magnetic moment (μB per atom): 0.000
Theoretical density (g cm⁻³): 3.31

Cell lengths 6.919, 6.919, 9.806 Å; angles 90.00, 90.00, 90.00 degrees
Fractional positions:
Y 0.000 0.000 0.000
Y 0.000 0.500 0.250
Y 0.500 0.000 0.750
Y 0.500 0.500 0.500
Sc 0.001 0.750 0.625
Sc 0.250 0.001 0.375
Sc 0.250 0.499 0.875
Sc 0.499 0.750 0.125
Sc 0.501 0.250 0.125
Sc 0.750 0.501 0.875
Sc 0.750 0.999 0.375
Sc 0.999 0.250 0.625
Mn 0.000 0.000 0.500
Mn 0.000 0.500 0.750
Mn 0.500 0.000 0.250
Mn 0.500 0.500 0.000